A relaxed Rb3HPt crystal, computed with PBE-GGA.

Summary:
Space-group type: No. 221
Total magnetization: 0.00 Bohr magnetons per cell
Excess energy over the best structure of this formula in the dataset: 0.00 eV per formula unit

Structure (POSCAR):
```
Rb3HPt
1.0
5.4307 0.0000 0.0000
0.0000 5.4307 0.0000
0.0000 0.0000 5.4307
H Rb Pt
1 3 1
Direct
0.0000 0.0000 0.0000 H
0.0000 0.5000 0.0000 Rb
0.0000 0.0000 0.5000 Rb
0.5000 0.0000 0.0000 Rb
0.5000 0.5000 0.5000 Pt
```

=====

A relaxed RbHPt2 crystal, computed with PBE-GGA.

Summary:
Space-group type: No. 141
Total magnetization: 0.00 Bohr magnetons per cell
Excess energy over the best structure of this formula in the dataset: 0.00 eV per formula unit

Structure (POSCAR):
```
RbHPt2
1.0
5.8983 0.0000 0.0000
0.0000 5.8983 0.0000
2.9492 2.9492 4.1568
H Rb Pt
2 2 4
Direct
0.5000 0.5000 0.0000 H
0.2500 0.7500 0.5000 H
0.0000 0.0000 0.0000 Rb
0.7500 0.2500 0.5000 Rb
0.3750 0.1250 0.2500 Pt
0.3750 0.6250 0.2500 Pt
0.3750 0.6250 0.7500 Pt
0.8750 0.6250 0.7500 Pt
```

=====

A relaxed RbHPt2 crystal, computed with PBE-GGA.

Summary:
Space-group type: No. 225
Total magnetization: 0.00 Bohr magnetons per cell
Excess energy over the best structure of this formula in the dataset: 5.88 eV per formula unit

Structure (POSCAR):
```
RbHPt2
1.0
0.0000 3.3403 3.3403
3.3403 0.0000 3.3403
3.3403 3.3403 0.0000
H Rb Pt
1 1 2
Direct
0.0000 0.0000 0.0000 H
0.5000 0.5000 0.5000 Rb
0.2500 0.2500 0.2500 Pt
0.7500 0.7500 0.7500 Pt
```

=====

A relaxed Rb2H5Pt crystal, computed with PBE-GGA.

Summary:
Space-group type: No. 107
Calculated total energy: -3.385 eV/atom
Total magnetization: 0.97 Bohr magnetons per cell

Structure (POSCAR):
```
Rb2H5Pt
1.0
6.0331 -0.0001 -0.0001
0.0000 6.0331 0.0000
-3.0163 -3.0163 4.1569
Rb H Pt
2 5 1
Direct
0.2480 0.7480 0.4961 Rb
0.7480 0.2480 0.4961 Rb
0.8041 0.1937 0.9978 H
0.1937 0.1937 0.9978 H
0.8041 0.8041 0.9978 H
0.1937 0.8041 0.9978 H
0.7930 0.7930 0.5861 H
0.9923 0.9923 0.9846 Pt
```

=====

A relaxed RbH2Pt2 crystal, computed with PBE-GGA.

Summary:
Space-group type: No. 139
Calculated total energy: -4.087 eV/atom
Total magnetization: 0.00 Bohr magnetons per cell

Structure (POSCAR):
```
RbH2Pt2
1.0
3.8560 0.0000 0.0000
0.0000 3.8560 0.0000
1.9280 1.9280 6.0399
H Rb Pt
2 1 2
Direct
0.7500 0.2500 0.5000 H
0.2500 0.7500 0.5000 H
0.0000 0.0000 0.0000 Rb
0.2609 0.2609 0.4783 Pt
0.7391 0.7391 0.5217 Pt
```

=====

A relaxed Rb3H3Pt crystal, computed with PBE-GGA.

Summary:
Space-group type: No. 160
Total magnetization: 0.00 Bohr magnetons per cell
Excess energy over the best structure of this formula in the dataset: 0.31 eV per formula unit

Structure (POSCAR):
```
Rb3H3Pt
1.0
-1.4241 -6.1638 0.6053
4.8395 0.2280 -2.4062
0.6447 2.8883 5.6240
Rb H Pt
3 3 1
Direct
0.6205 0.0162 0.0000 Rb
0.3795 0.3957 0.3795 Rb
0.0000 0.0162 0.6205 Rb
0.7198 0.5547 0.0000 H
0.2802 0.8349 0.2802 H
0.0000 0.5547 0.7198 H
0.0000 0.6526 0.0000 Pt
```

=====

Q: total magnetization of number 2 (RbHPt2)?
A: 0.00 Bohr magnetons per cell